TlTe2W | PBE | optimized geometry

Cell and atoms, written as POSCAR:
```
TlTe2W
1.0
3.2356 0.0000 0.0000
0.0000 3.2356 0.0000
0.0000 0.0000 9.9496
Te Tl W
2 1 1
Cartesian
0.0000 0.0000 9.1582
1.6178 1.6178 2.6724
0.0000 0.0000 5.4814
1.6178 1.6178 7.5621
```

As for the space-group type: P4mm (99). For the energy relative to the elements, uncorrected, the calculation gives 0.48 eV per atom. The value obtained for the calculated density is 10.3 Mg/m³. Its relative energy among the computed polymorphs is 0.373 eV per atom.